DFT (GGA-PBE) results for crystalline TmNp2TaN4 at its relaxed geometry.

Output
Volume = 105 Å³ per cell
Spin magnetization = 6.32 Bohr magnetons per cell
Theoretical density = 13.91 g/cm³
Formation energy from raw total energies = -124.4 kJ/mol of atoms

a = 5.752 Å, b = 3.303 Å, c = 5.846 Å
α = 90.00°, β = 108.89°, γ = 90.00°
Element x y z (fractional)
Tm (0.000, 0.000, 0.000)
Np (0.000, 0.500, 0.500)
Np (0.500, 0.000, 0.500)
Ta (0.500, 0.500, 0.000)
N (0.263, 0.500, 0.235)
N (0.273, 0.000, 0.774)
N (0.727, 0.000, 0.226)
N (0.737, 0.500, 0.765)


DFT (GGA-PBE) results for crystalline LiLa2Zn at its relaxed geometry.

Output
Volume = 229 Å³ per cell
Spin magnetization = 0.01 Bohr magnetons per cell
Theoretical density = 5.08 g/cm³
Energy of formation from the pure elements = 158.7 meV per atom

a = 6.795 Å, b = 6.795 Å, c = 6.795 Å
α = 102.55°, β = 102.55°, γ = 124.43°
Element x y z (fractional)
Li (0.000, 0.000, 0.000)
Li (0.750, 0.250, 0.500)
La (0.135, 0.125, 0.510)
La (0.375, 0.865, 0.990)
La (0.615, 0.625, 0.490)
La (0.875, 0.385, 0.010)
Zn (0.250, 0.750, 0.500)
Zn (0.500, 0.500, 0.000)


DFT (GGA-PBE) results for crystalline Dy2Ho9Tm at its relaxed geometry.

Output
Volume = 369 Å³ per cell
Spin magnetization = 0.00 Bohr magnetons per cell
Theoretical density = 8.90 g/cm³
Energy of formation from the pure elements = 22.2 meV per atom
Offset from the most stable computed form = 0 meV per atom

a = 4.973 Å, b = 4.973 Å, c = 14.924 Å
α = 90.00°, β = 90.00°, γ = 90.00°
Element x y z (fractional)
Dy (0.000, 0.000, 0.167)
Dy (0.000, 0.000, 0.833)
Ho (0.000, 0.500, 0.000)
Ho (0.000, 0.500, 0.334)
Ho (0.000, 0.500, 0.666)
Ho (0.500, 0.000, 0.000)
Ho (0.500, 0.000, 0.334)
Ho (0.500, 0.000, 0.666)
Ho (0.500, 0.500, 0.167)
Ho (0.500, 0.500, 0.500)
Ho (0.500, 0.500, 0.833)
Tm (0.000, 0.000, 0.500)


DFT (GGA-PBE) results for crystalline La8ZnOs3I4 at its relaxed geometry.

Output
Volume = 526 Å³ per cell
Spin magnetization = 0.00 Bohr magnetons per cell
Theoretical density = 7.12 g/cm³
Formation energy from raw total energies = -68.9 kJ/mol of atoms

a = 9.616 Å, b = 9.616 Å, c = 9.616 Å
α = 53.02°, β = 53.02°, γ = 53.02°
Element x y z (fractional)
La (0.208, 0.739, 0.739)
La (0.230, 0.230, 0.230)
La (0.261, 0.261, 0.792)
La (0.261, 0.792, 0.261)
La (0.739, 0.208, 0.739)
La (0.739, 0.739, 0.208)
La (0.770, 0.770, 0.770)
La (0.792, 0.261, 0.261)
Zn (0.500, 0.500, 0.500)
Os (0.000, 0.000, 0.500)
Os (0.000, 0.500, 0.000)
Os (0.500, 0.000, 0.000)
I (0.000, 0.000, 0.000)
I (0.000, 0.500, 0.500)
I (0.500, 0.000, 0.500)
I (0.500, 0.500, 0.000)


DFT (GGA-PBE) results for crystalline Na2PaTaO8 at its relaxed geometry.

Output
Volume = 213 Å³ per cell
Spin magnetization = 4.03 Bohr magnetons per cell
Theoretical density = 4.57 g/cm³
Formation energy from raw total energies = -163.2 kJ/mol of atoms

a = 6.404 Å, b = 6.404 Å, c = 5.994 Å
α = 90.00°, β = 90.00°, γ = 120.00°
Element x y z (fractional)
Na (0.333, 0.667, 0.197)
Na (0.667, 0.333, 0.803)
Pa (0.000, 0.000, 0.500)
Ta (0.000, 0.000, 0.000)
O (0.134, 0.267, 0.226)
O (0.134, 0.866, 0.226)
O (0.267, 0.134, 0.774)
O (0.333, 0.667, 0.625)
O (0.667, 0.333, 0.375)
O (0.733, 0.866, 0.226)
O (0.866, 0.134, 0.774)
O (0.866, 0.733, 0.774)


DFT (GGA-PBE) results for crystalline Ho2SeI3 at its relaxed geometry.

Output
Volume = 490 Å³ per cell
Spin magnetization = 0.00 Bohr magnetons per cell
Theoretical density = 5.35 g/cm³
Formation energy from raw total energies = -132.9 kJ/mol of atoms

a = 10.978 Å, b = 10.978 Å, c = 14.767 Å
α = 131.73°, β = 131.73°, γ = 22.00°
Element x y z (fractional)
Ho (0.077, 0.077, 0.465)
Ho (0.368, 0.368, 0.171)
Ho (0.632, 0.632, 0.829)
Ho (0.923, 0.923, 0.535)
Se (0.102, 0.102, 0.680)
Se (0.898, 0.898, 0.320)
I (0.176, 0.176, 0.024)
I (0.282, 0.282, 0.385)
I (0.455, 0.455, 0.726)
I (0.545, 0.545, 0.274)
I (0.718, 0.718, 0.615)
I (0.824, 0.824, 0.976)